No. 1
The following is a PBE-GGA calculation of crystalline MnAlPb at its relaxed geometry, from Alexandria.

Lattice parameters (Å, degrees): 3.1797 3.1797 6.7966 90.00 90.00 120.00
Space group P3m1 (No. 156)
Unique sites:
Mn  0.0000  0.0000  0.0000 x1
Al  0.6667  0.3333  0.7291 x1
Pb  0.3333  0.6667  0.3424 x1

Summary:
Uncorrected energy = -5.183 eV per atom
Energy of formation = 34.5 kJ per mole of atoms
Fermi-level density of states = 2.4 states/eV/f.u.

No. 2
The following is a PBE-GGA calculation of crystalline Mn2AlPb at its relaxed geometry, from Alexandria.

Lattice parameters (Å, degrees): 3.008 3.019 7.687 90.00 90.23 90.00
Space group P2/m (No. 10)
Unique sites:
Mn  0.002  0.000  0.204 x2
Al  0.500  0.500  0.000 x1
Pb  0.500  0.500  0.500 x1

Summary:
Uncorrected energy = -6.196 eV per atom
Energy of formation = 24.3 kJ per mole of atoms
Fermi-level density of states = 3.1 states/eV/f.u.

No. 3
The following is a PBE-GGA calculation of crystalline MnAlPb2 at its relaxed geometry, from Alexandria.

Lattice parameters (Å, degrees): 3.438 4.177 6.542 90.00 91.91 90.00
Space group P2/m (No. 10)
Unique sites:
Mn  0.000  0.000  0.000 x1
Al  0.000  0.000  0.500 x1
Pb  0.490  0.500  0.245 x2

Summary:
Uncorrected energy = -4.688 eV per atom
Energy of formation = 38.1 kJ per mole of atoms
Fermi-level density of states = 2.0 states/eV/f.u.

No. 4
The following is a PBE-GGA calculation of crystalline Mn3AlPb at its relaxed geometry, from Alexandria.

Lattice parameters (Å, degrees): 5.120 5.120 5.120 90.00 90.00 90.00
Space group Pm-3m (No. 221)
Unique sites:
Mn  0.000  0.000  0.500 x3
Al  0.500  0.500  0.500 x1
Pb  0.000  0.000  0.000 x1

Summary:
Uncorrected energy = -5.704 eV per atom
Energy of formation = 124.3 kJ per mole of atoms
Fermi-level density of states = 1.6 states/eV/f.u.

No. 5
The following is a PBE-GGA calculation of crystalline MnAlPb2 at its relaxed geometry, from Alexandria.

Lattice parameters (Å, degrees): 7.917 7.917 6.373 90.00 90.00 90.00
Space group I-42d (No. 122)
Unique sites:
Mn  0.000  0.000  0.000 x4
Al  0.000  0.000  0.500 x4
Pb  0.250  0.250  0.125 x8

Summary:
Uncorrected energy = -4.571 eV per atom
Energy of formation = 49.4 kJ per mole of atoms
Fermi-level density of states = 2.5 states/eV/f.u.

No. 6
The following is a PBE-GGA calculation of crystalline Mn2AlPb at its relaxed geometry, from Alexandria.

Lattice parameters (Å, degrees): 3.050 3.050 7.822 90.00 90.00 90.00
Space group P4mm (No. 99)
Unique sites:
Mn  0.000  0.000  0.000 x1
Mn  0.500  0.500  0.164 x1
Al  0.500  0.500  0.809 x1
Pb  0.000  0.000  0.444 x1

Summary:
Uncorrected energy = -6.213 eV per atom
Energy of formation = 22.6 kJ per mole of atoms
Fermi-level density of states = 2.8 states/eV/f.u.

No. 7
The following is a PBE-GGA calculation of crystalline MnAlPb2 at its relaxed geometry, from Alexandria.

Lattice parameters (Å, degrees): 4.697 4.697 8.610 90.00 90.00 90.00
Space group I4/mmm (No. 139)
Unique sites:
Mn  0.000  0.000  0.000 x2
Al  0.000  0.000  0.500 x2
Pb  0.000  0.500  0.250 x4

Summary:
Uncorrected energy = -4.672 eV per atom
Energy of formation = 39.6 kJ per mole of atoms
Fermi-level density of states = 2.6 states/eV/f.u.

No. 8
The following is a PBE-GGA calculation of crystalline MnAlPb2 at its relaxed geometry, from Alexandria.

Lattice parameters (Å, degrees): 4.703 4.717 8.576 90.00 90.00 90.00
Space group Cmmm (No. 65)
Unique sites:
Mn  0.000  0.000  0.000 x2
Al  0.000  0.000  0.500 x2
Pb  0.000  0.500  0.229 x4

Summary:
Uncorrected energy = -4.686 eV per atom
Energy of formation = 38.2 kJ per mole of atoms
Fermi-level density of states = 2.7 states/eV/f.u.